## w
SiAg2Te4 | GGA-PBE | optimized geometry

a = 7.4645 Å, b = 7.4645 Å, c = 7.4645 Å
α = 132.79°, β = 132.79°, γ = 68.99°
Element x y z (fractional)
1 Si 0.0000 0.0000 0.0000
2 Ag 0.2500 0.7500 0.5000
3 Ag 0.7500 0.2500 0.5000
4 Te 0.1550 0.6350 0.0000
5 Te 0.3650 0.3650 0.5199
6 Te 0.6350 0.1550 0.0000
7 Te 0.8450 0.8450 0.4801

---

## x
SiAg2Te4 | GGA-PBE | optimized geometry

a = 10.6556 Å, b = 10.6556 Å, c = 6.7363 Å
α = 90.00°, β = 90.00°, γ = 90.00°
Element x y z (fractional)
1 Si 0.2500 0.2500 0.0251
2 Si 0.2500 0.2500 0.5251
3 Si 0.7500 0.7500 0.4749
4 Si 0.7500 0.7500 0.9749
5 Ag 0.0787 0.5787 0.2500
6 Ag 0.0787 0.9213 0.7500
7 Ag 0.4213 0.5787 0.7500
8 Ag 0.4213 0.9213 0.2500
9 Ag 0.5787 0.0787 0.7500
10 Ag 0.5787 0.4213 0.2500
11 Ag 0.9213 0.0787 0.2500
12 Ag 0.9213 0.4213 0.7500
13 Te 0.0061 0.1809 0.6125
14 Te 0.0061 0.3191 0.1125
15 Te 0.1809 0.0061 0.1125
16 Te 0.1809 0.4939 0.6125
17 Te 0.3191 0.0061 0.6125
18 Te 0.3191 0.4939 0.1125
19 Te 0.4939 0.1809 0.1125
20 Te 0.4939 0.3191 0.6125
21 Te 0.5061 0.6809 0.3875
22 Te 0.5061 0.8191 0.8875
23 Te 0.6809 0.5061 0.8875
24 Te 0.6809 0.9939 0.3875
25 Te 0.8191 0.5061 0.3875
26 Te 0.8191 0.9939 0.8875
27 Te 0.9939 0.6809 0.8875
28 Te 0.9939 0.8191 0.3875

---

Of them, the most stable is w and the least stable is x.

---

## w
Th2Si2Ag | GGA-PBE | optimized geometry

a = 5.9801 Å, b = 5.9801 Å, c = 10.5691 Å
α = 115.11°, β = 115.11°, γ = 42.60°
Element x y z (fractional)
1 Th 0.0021 0.0021 0.3224
2 Th 0.1912 0.1912 0.1044
3 Th 0.8088 0.8088 0.8956
4 Th 0.9979 0.9979 0.6776
5 Si 0.3751 0.3751 0.4352
6 Si 0.4758 0.4758 0.1047
7 Si 0.5242 0.5242 0.8953
8 Si 0.6249 0.6249 0.5648
9 Ag 0.2754 0.2754 0.6400
10 Ag 0.7246 0.7246 0.3600

---

## x
Th2Si2Ag | GGA-PBE | optimized geometry

a = 7.3325 Å, b = 7.3325 Å, c = 4.3076 Å
α = 90.00°, β = 90.00°, γ = 90.00°
Element x y z (fractional)
1 Th 0.1805 0.3195 0.0000
2 Th 0.3195 0.8195 0.0000
3 Th 0.6805 0.1805 0.0000
4 Th 0.8195 0.6805 0.0000
5 Si 0.1155 0.6155 0.5000
6 Si 0.3845 0.1155 0.5000
7 Si 0.6155 0.8845 0.5000
8 Si 0.8845 0.3845 0.5000
9 Ag 0.0000 0.0000 0.5000
10 Ag 0.5000 0.5000 0.5000

---

Of them, the most stable is x and the least stable is w.

---

## w
Tl2SiAg2 | GGA-PBE | optimized geometry

a = 7.9651 Å, b = 7.9651 Å, c = 3.7272 Å
α = 90.00°, β = 90.00°, γ = 90.00°
Element x y z (fractional)
1 Tl 0.1728 0.3272 0.0000
2 Tl 0.3272 0.8272 0.0000
3 Tl 0.6728 0.1728 0.0000
4 Tl 0.8272 0.6728 0.0000
5 Si 0.0000 0.0000 0.0000
6 Si 0.5000 0.5000 0.0000
7 Ag 0.1260 0.6260 0.5000
8 Ag 0.3740 0.1260 0.5000
9 Ag 0.6260 0.8740 0.5000
10 Ag 0.8740 0.3740 0.5000

---

## x
Tl2SiAg2 | GGA-PBE | optimized geometry

a = 6.8629 Å, b = 6.8629 Å, c = 5.0347 Å
α = 90.00°, β = 90.00°, γ = 90.00°
Element x y z (fractional)
1 Tl 0.1676 0.3324 0.0000
2 Tl 0.3324 0.8324 0.0000
3 Tl 0.6676 0.1676 0.0000
4 Tl 0.8324 0.6676 0.0000
5 Si 0.0000 0.0000 0.5000
6 Si 0.5000 0.5000 0.5000
7 Ag 0.1564 0.6564 0.5000
8 Ag 0.3436 0.1564 0.5000
9 Ag 0.6564 0.8436 0.5000
10 Ag 0.8436 0.3436 0.5000

---

Of them, the most stable is x and the least stable is w.

---

## w
Tl2Si2Ag | GGA-PBE | optimized geometry

a = 6.5551 Å, b = 6.5551 Å, c = 5.3335 Å
α = 90.00°, β = 90.00°, γ = 90.00°
Element x y z (fractional)
1 Tl 0.1817 0.3183 0.0000
2 Tl 0.3183 0.8183 0.0000
3 Tl 0.6817 0.1817 0.0000
4 Tl 0.8183 0.6817 0.0000
5 Si 0.1287 0.6287 0.5000
6 Si 0.3713 0.1287 0.5000
7 Si 0.6287 0.8713 0.5000
8 Si 0.8713 0.3713 0.5000
9 Ag 0.0000 0.0000 0.5000
10 Ag 0.5000 0.5000 0.5000

---

## x
Tl2Si2Ag | GGA-PBE | optimized geometry

a = 9.5667 Å, b = 9.5667 Å, c = 9.5667 Å
α = 158.99°, β = 158.99°, γ = 29.88°
Element x y z (fractional)
1 Tl 0.1050 0.1050 0.0000
2 Tl 0.8950 0.8950 0.0000
3 Si 0.2500 0.7500 0.5000
4 Si 0.7500 0.2500 0.5000
5 Ag 0.5000 0.5000 0.0000

---

Of them, the most stable is x and the least stable is w.

---

## w
Tl3SiAg | GGA-PBE | optimized geometry

a = 5.4134 Å, b = 5.4134 Å, c = 5.4134 Å
α = 90.00°, β = 90.00°, γ = 90.00°
Element x y z (fractional)
1 Tl 0.0000 0.0000 0.5000
2 Tl 0.0000 0.5000 0.0000
3 Tl 0.5000 0.0000 0.0000
4 Si 0.0000 0.0000 0.0000
5 Ag 0.5000 0.5000 0.5000

---

## x
Tl3SiAg | GGA-PBE | optimized geometry

a = 5.4422 Å, b = 5.4422 Å, c = 5.4422 Å
α = 90.00°, β = 90.00°, γ = 90.00°
Element x y z (fractional)
1 Tl 0.0000 0.0000 0.5000
2 Tl 0.0000 0.5000 0.0000
3 Tl 0.5000 0.0000 0.0000
4 Si 0.5000 0.5000 0.5000
5 Ag 0.0000 0.0000 0.0000

---

Of them, the most stable is w and the least stable is x.

---

## w
Si3AgW | GGA-PBE | optimized geometry

a = 4.7177 Å, b = 4.7177 Å, c = 4.7177 Å
α = 90.00°, β = 90.00°, γ = 90.00°
Element x y z (fractional)
1 Si 0.0000 0.0000 0.5000
2 Si 0.0000 0.5000 0.0000
3 Si 0.5000 0.0000 0.0000
4 Ag 0.0000 0.0000 0.0000
5 W 0.5000 0.5000 0.5000

---

## x
Si3AgW | GGA-PBE | optimized geometry

a = 4.7724 Å, b = 4.7724 Å, c = 4.7724 Å
α = 90.00°, β = 90.00°, γ = 90.00°
Element x y z (fractional)
1 Si 0.0000 0.0000 0.5000
2 Si 0.0000 0.5000 0.0000
3 Si 0.5000 0.0000 0.0000
4 Ag 0.5000 0.5000 0.5000
5 W 0.0000 0.0000 0.0000

---

Of them, the most stable is x and the least stable is w.

---

## w
YSiAg3 | GGA-PBE | optimized geometry

a = 4.7908 Å, b = 4.7908 Å, c = 4.7908 Å
α = 90.00°, β = 90.00°, γ = 90.00°
Element x y z (fractional)
1 Y 0.0000 0.0000 0.0000
2 Si 0.5000 0.5000 0.5000
3 Ag 0.0000 0.5000 0.5000
4 Ag 0.5000 0.0000 0.5000
5 Ag 0.5000 0.5000 0.0000

---

## x
YSiAg3 | GGA-PBE | optimized geometry

a = 5.3893 Å, b = 5.3893 Å, c = 5.3893 Å
α = 90.00°, β = 90.00°, γ = 90.00°
Element x y z (fractional)
1 Y 0.0000 0.0000 0.0000
2 Si 0.5000 0.5000 0.5000
3 Ag 0.0000 0.0000 0.5000
4 Ag 0.0000 0.5000 0.0000
5 Ag 0.5000 0.0000 0.0000

---

Of them, the most stable is w and the least stable is x.

---

## w
ZnSiAg3 | GGA-PBE | optimized geometry

a = 4.8089 Å, b = 4.8089 Å, c = 4.8089 Å
α = 90.00°, β = 90.00°, γ = 90.00°
Element x y z (fractional)
1 Zn 0.0000 0.0000 0.0000
2 Si 0.5000 0.5000 0.5000
3 Ag 0.0000 0.5000 0.5000
4 Ag 0.5000 0.0000 0.5000
5 Ag 0.5000 0.5000 0.0000

---

## x
ZnSiAg3 | GGA-PBE | optimized geometry

a = 4.8031 Å, b = 4.8031 Å, c = 4.8031 Å
α = 90.00°, β = 90.00°, γ = 90.00°
Element x y z (fractional)
1 Zn 0.0000 0.0000 0.0000
2 Si 0.5000 0.5000 0.5000
3 Ag 0.0000 0.0000 0.5000
4 Ag 0.0000 0.5000 0.0000
5 Ag 0.5000 0.0000 0.0000

---

Of them, the most stable is w and the least stable is x.

---

## w
Zn2SiAg2 | GGA-PBE | optimized geometry

a = 7.7800 Å, b = 7.7800 Å, c = 2.8371 Å
α = 90.00°, β = 90.00°, γ = 90.00°
Element x y z (fractional)
1 Zn 0.1686 0.3314 0.0000
2 Zn 0.3314 0.8314 0.0000
3 Zn 0.6686 0.1686 0.0000
4 Zn 0.8314 0.6686 0.0000
5 Si 0.0000 0.0000 0.5000
6 Si 0.5000 0.5000 0.5000
7 Ag 0.1310 0.6310 0.5000
8 Ag 0.3690 0.1310 0.5000
9 Ag 0.6310 0.8690 0.5000
10 Ag 0.8690 0.3690 0.5000

---

## x
Zn2SiAg2 | GGA-PBE | optimized geometry

a = 7.6943 Å, b = 7.6943 Å, c = 2.8992 Å
α = 90.00°, β = 90.00°, γ = 90.00°
Element x y z (fractional)
1 Zn 0.1210 0.3790 0.0000
2 Zn 0.3790 0.8790 0.0000
3 Zn 0.6210 0.1210 0.0000
4 Zn 0.8790 0.6210 0.0000
5 Si 0.0000 0.0000 0.0000
6 Si 0.5000 0.5000 0.0000
7 Ag 0.1773 0.6773 0.5000
8 Ag 0.3227 0.1773 0.5000
9 Ag 0.6773 0.8227 0.5000
10 Ag 0.8227 0.3227 0.5000

---

Of them, the most stable is w and the least stable is x.

---

## w
Zn2Si2Ag | GGA-PBE | optimized geometry

a = 6.0399 Å, b = 6.0399 Å, c = 6.0399 Å
α = 141.11°, β = 141.11°, γ = 56.17°
Element x y z (fractional)
1 Zn 0.2500 0.7500 0.5000
2 Zn 0.7500 0.2500 0.5000
3 Si 0.1078 0.1078 0.0000
4 Si 0.8922 0.8922 0.0000
5 Ag 0.5000 0.5000 0.0000

---

## x
Zn2Si2Ag | GGA-PBE | optimized geometry

a = 7.4386 Å, b = 7.4386 Å, c = 7.4386 Å
α = 153.11°, β = 153.11°, γ = 38.39°
Element x y z (fractional)
1 Zn 0.0985 0.0985 0.0000
2 Zn 0.9015 0.9015 0.0000
3 Si 0.2500 0.7500 0.5000
4 Si 0.7500 0.2500 0.5000
5 Ag 0.5000 0.5000 0.0000

---

Of them, the most stable is x and the least stable is w.

---

## w
Zn3SiAg | GGA-PBE | optimized geometry

a = 4.8249 Å, b = 4.8249 Å, c = 4.8249 Å
α = 90.00°, β = 90.00°, γ = 90.00°
Element x y z (fractional)
1 Zn 0.0000 0.0000 0.5000
2 Zn 0.0000 0.5000 0.0000
3 Zn 0.5000 0.0000 0.0000
4 Si 0.5000 0.5000 0.5000
5 Ag 0.0000 0.0000 0.0000

---

## x
Zn3SiAg | GGA-PBE | optimized geometry

a = 4.7365 Å, b = 4.7365 Å, c = 4.7365 Å
α = 90.00°, β = 90.00°, γ = 90.00°
Element x y z (fractional)
1 Zn 0.0000 0.0000 0.5000
2 Zn 0.0000 0.5000 0.0000
3 Zn 0.5000 0.0000 0.0000
4 Si 0.0000 0.0000 0.0000
5 Ag 0.5000 0.5000 0.5000

---

Of them, the most stable is x and the least stable is w.

---

## w
SmAg6 | GGA-PBE | optimized geometry

a = 8.9242 Å, b = 5.7017 Å, c = 11.2663 Å
α = 90.00°, β = 90.00°, γ = 90.00°
Element x y z (fractional)
1 Sm 0.2427 0.2500 0.0684
2 Sm 0.2573 0.7500 0.5684
3 Sm 0.7427 0.2500 0.4316
4 Sm 0.7573 0.7500 0.9316
5 Ag 0.0618 0.0089 0.3081
6 Ag 0.0618 0.4911 0.3081
7 Ag 0.0654 0.7500 0.0853
8 Ag 0.1059 0.2500 0.5201
9 Ag 0.1465 0.7500 0.8493
10 Ag 0.1856 0.2500 0.7650
11 Ag 0.3144 0.7500 0.2650
12 Ag 0.3535 0.2500 0.3493
13 Ag 0.3941 0.7500 0.0201
14 Ag 0.4346 0.2500 0.5853
15 Ag 0.4382 0.5089 0.8081
16 Ag 0.4382 0.9911 0.8081
17 Ag 0.5618 0.0089 0.1919
18 Ag 0.5618 0.4911 0.1919
19 Ag 0.5654 0.7500 0.4147
20 Ag 0.6059 0.2500 0.9799
21 Ag 0.6465 0.7500 0.6507
22 Ag 0.6856 0.2500 0.7350
23 Ag 0.8144 0.7500 0.2350
24 Ag 0.8535 0.2500 0.1507
25 Ag 0.8941 0.7500 0.4799
26 Ag 0.9346 0.2500 0.9147
27 Ag 0.9382 0.5089 0.6919
28 Ag 0.9382 0.9911 0.6919

---

## x
SmAg6 | GGA-PBE | optimized geometry

a = 6.3534 Å, b = 6.3534 Å, c = 6.3534 Å
α = 109.47°, β = 109.47°, γ = 109.47°
Element x y z (fractional)
1 Sm 0.0000 0.0000 0.0000
2 Ag 0.2500 0.5000 0.7500
3 Ag 0.2500 0.7500 0.5000
4 Ag 0.5000 0.2500 0.7500
5 Ag 0.5000 0.7500 0.2500
6 Ag 0.7500 0.2500 0.5000
7 Ag 0.7500 0.5000 0.2500

---

Of them, the most stable is w and the least stable is x.